{
  "formula": "Na3TcSb",
  "functional": "PBE",
  "state": "relaxed",
  "space_group": "Pm-3m",
  "raw_formation_energy_mev_per_atom": 952,
  "e_above_lowest_polymorph_mev_per_atom": 0,
  "crystal_system": "cubic",
  "lattice_angstrom": [[5.8228, 0.0000, 0.0000], [0.0000, 5.8228, 0.0000], [0.0000, 0.0000, 5.8228]],
  "species": ["Na", "Na", "Na", "Tc", "Sb"],
  "frac_coords": [[0.0000, 0.0000, 0.5000], [0.0000, 0.5000, 0.0000], [0.5000, 0.0000, 0.0000], [0.5000, 0.5000, 0.5000], [0.0000, 0.0000, 0.0000]]
}